The following is a GGA-PBE calculation of a relaxed structure of LiAl2Zn, from the Alexandria database.

## Properties
**SG**: C2/m, No. 12
**Final energy**: -2.71 eV/atom
**Formation energy**: -0.167 eV/f.u.
**Volume**: 64 Å³ per cell

a = 5.4073 Å, b = 5.4073 Å, c = 2.7392 Å
α = 102.52°, β = 102.52°, γ = 117.56°
Closest atoms and distances in Å follow each position.
Element x y z (fractional)
Li 0.0000 0.0000 0.0000  2 Li 2.74, 4 Al 2.75, 4 Zn 2.80-2.99
Al 0.0000 0.5000 0.5000  6 Al 2.74-2.99, 2 Li 2.75, 2 Zn 2.75
Al 0.5000 0.0000 0.5000  6 Al 2.74-2.99, 2 Li 2.75, 2 Zn 2.75
Zn 0.5000 0.5000 0.0000  2 Zn 2.74, 4 Al 2.75, 4 Li 2.80-2.99

The following is a GGA-PBE calculation of a relaxed structure of Li3Al12Zn, from the Alexandria database.

## Properties
**SG**: P4/mmm, No. 123
**Final energy**: -3.30 eV/atom
**Formation energy**: -0.882 eV/f.u.
**Volume**: 261 Å³ per cell

a = 4.0404 Å, b = 4.0404 Å, c = 16.0085 Å
α = 90.00°, β = 90.00°, γ = 90.00°
Closest atoms and distances in Å follow each position.
Element x y z (fractional)
Li 0.0000 0.0000 0.0000  12 Al 2.85-2.86
Li 0.0000 0.0000 0.2489  12 Al 2.83-2.86
Li 0.0000 0.0000 0.7511  12 Al 2.83-2.86
Al 0.0000 0.5000 0.1254  4 Li 2.83-2.85, 8 Al 2.85-2.86
Al 0.0000 0.5000 0.3752  8 Al 2.83-2.86, 2 Zn 2.84, 2 Li 2.86
Al 0.0000 0.5000 0.6248  8 Al 2.83-2.86, 2 Zn 2.84, 2 Li 2.86
Al 0.0000 0.5000 0.8746  4 Li 2.83-2.85, 8 Al 2.85-2.86
Al 0.5000 0.0000 0.1254  4 Li 2.83-2.85, 8 Al 2.85-2.86
Al 0.5000 0.0000 0.3752  8 Al 2.83-2.86, 2 Zn 2.84, 2 Li 2.86
Al 0.5000 0.0000 0.6248  8 Al 2.83-2.86, 2 Zn 2.84, 2 Li 2.86
Al 0.5000 0.0000 0.8746  4 Li 2.83-2.85, 8 Al 2.85-2.86
Al 0.5000 0.5000 0.0000  8 Al 2.85, 4 Li 2.86
Al 0.5000 0.5000 0.2517  8 Al 2.83-2.86, 4 Li 2.86
Al 0.5000 0.5000 0.5000  8 Al 2.84, 4 Zn 2.86
Al 0.5000 0.5000 0.7483  8 Al 2.83-2.86, 4 Li 2.86
Zn 0.0000 0.0000 0.5000  12 Al 2.84-2.86

The following is a GGA-PBE calculation of a relaxed structure of LiAl2Zn3, from the Alexandria database.

## Properties
**SG**: Cmcm, No. 63
**Offset from the most stable computed form**: 0.0 meV/atom
**Final energy**: -2.24 eV/atom
**Formation energy**: -0.214 eV/f.u.
**Volume**: 189 Å³ per cell

a = 4.8341 Å, b = 4.8341 Å, c = 8.8838 Å
α = 90.00°, β = 90.00°, γ = 65.61°
Closest atoms and distances in Å follow each position.
Element x y z (fractional)
Li 0.1521 0.8479 0.7500  6 Al 2.70-2.96, 6 Zn 2.72-2.87
Li 0.8479 0.1521 0.2500  6 Al 2.70-2.96, 6 Zn 2.72-2.87
Al 0.1793 0.4842 0.2500  3 Li 2.70-2.96, 6 Zn 2.72-2.87, 3 Al 2.73-2.94
Al 0.4842 0.1793 0.7500  3 Li 2.70-2.96, 6 Zn 2.72-2.87, 3 Al 2.73-2.94
Al 0.5158 0.8207 0.2500  3 Li 2.70-2.96, 6 Zn 2.72-2.87, 3 Al 2.73-2.94
Al 0.8207 0.5158 0.7500  3 Li 2.70-2.96, 6 Zn 2.72-2.87, 3 Al 2.73-2.94
Zn 0.1661 0.1661 0.0000  6 Zn 2.70-2.95, 4 Al 2.72-2.87, 2 Li 2.72
Zn 0.1661 0.1661 0.5000  6 Zn 2.70-2.95, 4 Al 2.72-2.87, 2 Li 2.72
Zn 0.5000 0.5000 0.0000  6 Zn 2.71-2.95, 4 Al 2.73, 2 Li 2.87
Zn 0.5000 0.5000 0.5000  6 Zn 2.71-2.95, 4 Al 2.73, 2 Li 2.87
Zn 0.8339 0.8339 0.0000  6 Zn 2.70-2.95, 4 Al 2.72-2.87, 2 Li 2.72
Zn 0.8339 0.8339 0.5000  6 Zn 2.70-2.95, 4 Al 2.72-2.87, 2 Li 2.72

The following is a GGA-PBE calculation of a relaxed structure of LiAl2Zn, from the Alexandria database.

## Properties
**SG**: P3m1, No. 156
**Final energy**: -2.58 eV/atom
**Formation energy**: 0.350 eV/f.u.
**Volume**: 76 Å³ per cell

a = 4.0483 Å, b = 4.0483 Å, c = 5.3731 Å
α = 90.00°, β = 90.00°, γ = 120.00°
Closest atoms and distances in Å follow each position.
Element x y z (fractional)
Li 0.0000 0.0000 0.0000  5 Al 2.65-2.72, 3 Zn 2.68
Al 0.0000 0.0000 0.5070  2 Li 2.65-2.72, 3 Zn 2.69, 3 Al 2.71
Al 0.3333 0.6667 0.2535  2 Zn 2.68-2.70, 3 Li 2.71, 3 Al 2.71
Zn 0.3333 0.6667 0.7555  5 Al 2.68-2.70, 3 Li 2.68

The following is a GGA-PBE calculation of a relaxed structure of Li2AlZn, from the Alexandria database.

## Properties
**SG**: P4/mmm, No. 123
**Final energy**: -2.34 eV/atom
**Formation energy**: -0.516 eV/f.u.
**Volume**: 62 Å³ per cell

a = 2.8636 Å, b = 2.8636 Å, c = 7.5677 Å
α = 90.00°, β = 90.00°, γ = 90.00°
Closest atoms and distances in Å follow each position.
Element x y z (fractional)
Li 0.0000 0.0000 0.2428  4 Zn 2.73, 4 Al 2.81, 4 Li 2.86
Li 0.0000 0.0000 0.7572  4 Zn 2.73, 4 Al 2.81, 4 Li 2.86
Al 0.5000 0.5000 0.5000  8 Li 2.81, 4 Al 2.86
Zn 0.5000 0.5000 0.0000  8 Li 2.73, 4 Zn 2.86

The following is a GGA-PBE calculation of a relaxed structure of Li3AlZn6, from the Alexandria database.

## Properties
**SG**: P2_1/m, No. 11
**Final energy**: -1.86 eV/atom
**Formation energy**: -1.512 eV/f.u.
**Volume**: 296 Å³ per cell

a = 7.2773 Å, b = 4.4519 Å, c = 9.6231 Å
α = 90.00°, β = 108.15°, γ = 90.00°
Closest atoms and distances in Å follow each position.
Element x y z (fractional)
Li 0.1010 0.2500 0.2307  8 Zn 2.72-2.79, 1 Al 2.76, 3 Li 2.77
Li 0.3049 0.7500 0.3673  9 Zn 2.67-2.85, 2 Li 2.77, 1 Al 2.79
Li 0.3080 0.2500 0.0336  11 Zn 2.72-2.83, 1 Li 2.77
Li 0.6920 0.7500 0.9664  11 Zn 2.72-2.83, 1 Li 2.77
Li 0.6951 0.2500 0.6327  9 Zn 2.67-2.85, 2 Li 2.77, 1 Al 2.79
Li 0.8990 0.7500 0.7693  8 Zn 2.72-2.79, 1 Al 2.76, 3 Li 2.77
Al 0.0998 0.7500 0.5692  8 Zn 2.73-2.89, 2 Li 2.76-2.79, 2 Al 2.76
Al 0.9002 0.2500 0.4308  8 Zn 2.73-2.89, 2 Li 2.76-2.79, 2 Al 2.76
Zn 0.0948 0.7500 0.0626  5 Zn 2.69-2.76, 7 Li 2.74-2.85
Zn 0.1003 0.2500 0.7421  5 Zn 2.69-2.86, 4 Li 2.72-2.80, 3 Al 2.78-2.89
Zn 0.2989 0.7500 0.8683  4 Li 2.72-2.77, 7 Zn 2.72-2.80, 1 Al 2.79
Zn 0.3015 0.2500 0.5292  5 Zn 2.70-2.86, 4 Li 2.72-2.79, 3 Al 2.76-2.78
Zn 0.4937 0.7500 0.1694  4 Li 2.67-2.77, 8 Zn 2.74-2.82
Zn 0.4953 0.7500 0.6628  6 Zn 2.70-2.78, 5 Li 2.72-2.83, 1 Al 2.73
Zn 0.5047 0.2500 0.3372  6 Zn 2.70-2.78, 5 Li 2.72-2.83, 1 Al 2.73
Zn 0.5063 0.2500 0.8306  4 Li 2.67-2.77, 8 Zn 2.74-2.82
Zn 0.6985 0.7500 0.4708  5 Zn 2.70-2.86, 4 Li 2.72-2.79, 3 Al 2.76-2.78
Zn 0.7011 0.2500 0.1317  4 Li 2.72-2.77, 7 Zn 2.72-2.80, 1 Al 2.79
Zn 0.8997 0.7500 0.2579  5 Zn 2.69-2.86, 4 Li 2.72-2.80, 3 Al 2.78-2.89
Zn 0.9052 0.2500 0.9374  5 Zn 2.69-2.76, 7 Li 2.74-2.85

The following is a GGA-PBE calculation of a relaxed structure of LiAlZn2, from the Alexandria database.

## Properties
**SG**: Cm, No. 8
**Final energy**: -2.14 eV/atom
**Formation energy**: -0.368 eV/f.u.
**Volume**: 61 Å³ per cell

a = 4.7202 Å, b = 4.7202 Å, c = 4.8464 Å
α = 98.99°, β = 98.99°, γ = 35.18°
Closest atoms and distances in Å follow each position.
Element x y z (fractional)
Li 0.0000 0.0000 0.0000  7 Zn 2.67-2.82, 3 Al 2.74-2.82, 2 Li 2.85
Al 0.7539 0.7539 0.2675  7 Zn 2.71-2.82, 3 Li 2.74-2.82, 2 Al 2.85
Zn 0.2490 0.2490 0.7681  3 Li 2.67-2.75, 5 Zn 2.78-2.85, 4 Al 2.80-2.82
Zn 0.5006 0.5006 0.5014  3 Al 2.71-2.72, 5 Zn 2.78-2.85, 4 Li 2.81-2.82

The following is a GGA-PBE calculation of a relaxed structure of LiAl6Zn, from the Alexandria database.

## Properties
**SG**: P4/mmm, No. 123
**Final energy**: -3.21 eV/atom
**Formation energy**: -0.064 eV/f.u.
**Volume**: 131 Å³ per cell

a = 4.0938 Å, b = 4.0938 Å, c = 7.7883 Å
α = 90.00°, β = 90.00°, γ = 90.00°
Closest atoms and distances in Å follow each position.
Element x y z (fractional)
Li 0.0000 0.0000 0.0000  12 Al 2.83-2.89
Al 0.0000 0.5000 0.2508  8 Al 2.82-2.89, 2 Zn 2.82, 2 Li 2.83
Al 0.0000 0.5000 0.7492  8 Al 2.82-2.89, 2 Zn 2.82, 2 Li 2.83
Al 0.5000 0.0000 0.2508  8 Al 2.82-2.89, 2 Zn 2.82, 2 Li 2.83
Al 0.5000 0.0000 0.7492  8 Al 2.82-2.89, 2 Zn 2.82, 2 Li 2.83
Al 0.5000 0.5000 0.0000  8 Al 2.83, 4 Li 2.89
Al 0.5000 0.5000 0.5000  8 Al 2.82, 4 Zn 2.89
Zn 0.0000 0.0000 0.5000  12 Al 2.82-2.89

The following is a GGA-PBE calculation of a relaxed structure of LiAl3Zn7, from the Alexandria database.

## Properties
**SG**: P3m1, No. 156
**Final energy**: -1.98 eV/atom
**Formation energy**: 0.251 eV/f.u.
**Volume**: 180 Å³ per cell

a = 5.5442 Å, b = 5.5442 Å, c = 6.7459 Å
α = 90.00°, β = 90.00°, γ = 120.00°
Closest atoms and distances in Å follow each position.
Element x y z (fractional)
Li 0.0000 0.0000 0.0000  9 Zn 2.74-2.77, 3 Al 2.79
Al 0.1665 0.3331 0.6606  5 Zn 2.74-2.84, 4 Al 2.77, 1 Li 2.79
Al 0.1665 0.8335 0.6606  5 Zn 2.74-2.84, 4 Al 2.77, 1 Li 2.79
Al 0.6669 0.8335 0.6606  5 Zn 2.74-2.84, 4 Al 2.77, 1 Li 2.79
Zn 0.3333 0.6667 0.3126  9 Zn 2.74-2.77, 3 Al 2.84
Zn 0.3376 0.1688 0.3272  8 Zn 2.74-2.81, 1 Li 2.74, 2 Al 2.77
Zn 0.5052 0.0103 0.9874  7 Zn 2.69-2.86, 2 Al 2.74, 2 Li 2.77
Zn 0.5052 0.4948 0.9874  7 Zn 2.69-2.86, 2 Al 2.74, 2 Li 2.77
Zn 0.8312 0.1688 0.3272  8 Zn 2.74-2.81, 1 Li 2.74, 2 Al 2.77
Zn 0.8312 0.6624 0.3272  8 Zn 2.74-2.81, 1 Li 2.74, 2 Al 2.77
Zn 0.9897 0.4948 0.9874  7 Zn 2.69-2.86, 2 Al 2.74, 2 Li 2.77

The following is a GGA-PBE calculation of a relaxed structure of Li6AlZn2, from the Alexandria database.

## Properties
**SG**: Pnnm, No. 58
**Offset from the most stable computed form**: 4.2 meV/atom
**Final energy**: -2.10 eV/atom
**Formation energy**: -1.170 eV/f.u.
**Volume**: 293 Å³ per cell

a = 8.4850 Å, b = 8.4862 Å, c = 4.0626 Å
α = 90.00°, β = 90.00°, γ = 90.00°
Closest atoms and distances in Å follow each position.
Element x y z (fractional)
Li 0.0189 0.1749 0.0000  8 Li 2.74-2.99, 1 Al 2.76, 3 Zn 2.87-2.90
Li 0.1750 0.9799 0.5000  8 Li 2.74-2.99, 1 Al 2.76, 3 Zn 2.86-2.90
Li 0.1842 0.3146 0.5000  6 Li 2.74-2.84, 4 Zn 2.81-2.89, 2 Al 3.01
Li 0.3158 0.8146 0.0000  6 Li 2.74-2.84, 4 Zn 2.81-2.89, 2 Al 3.01
Li 0.3250 0.4799 0.0000  8 Li 2.74-2.99, 1 Al 2.76, 3 Zn 2.86-2.90
Li 0.4811 0.6749 0.5000  8 Li 2.74-2.99, 1 Al 2.76, 3 Zn 2.87-2.90
Li 0.5189 0.3251 0.5000  8 Li 2.74-2.99, 1 Al 2.76, 3 Zn 2.87-2.90
Li 0.6750 0.5201 0.0000  8 Li 2.74-2.99, 1 Al 2.76, 3 Zn 2.86-2.90
Li 0.6842 0.1854 0.0000  6 Li 2.74-2.84, 4 Zn 2.81-2.89, 2 Al 3.01
Li 0.8158 0.6854 0.5000  6 Li 2.74-2.84, 4 Zn 2.81-2.89, 2 Al 3.01
Li 0.8250 0.0201 0.5000  8 Li 2.74-2.99, 1 Al 2.76, 3 Zn 2.86-2.90
Li 0.9811 0.8251 0.0000  8 Li 2.74-2.99, 1 Al 2.76, 3 Zn 2.87-2.90
Al 0.0000 0.5000 0.0000  4 Zn 2.67, 4 Li 2.76
Al 0.5000 0.0000 0.5000  4 Zn 2.67, 4 Li 2.76
Zn 0.1446 0.6439 0.5000  2 Al 2.67, 10 Li 2.81-2.90
Zn 0.3554 0.1439 0.0000  2 Al 2.67, 10 Li 2.81-2.90
Zn 0.6446 0.8561 0.0000  2 Al 2.67, 10 Li 2.81-2.90
Zn 0.8554 0.3561 0.5000  2 Al 2.67, 10 Li 2.81-2.90

The following is a GGA-PBE calculation of a relaxed structure of LiAl8Zn2, from the Alexandria database.

## Properties
**SG**: C2/m, No. 12
**Final energy**: -3.02 eV/atom
**Formation energy**: 1.227 eV/f.u.
**Volume**: 202 Å³ per cell

a = 6.9454 Å, b = 6.9454 Å, c = 4.4317 Å
α = 98.32°, β = 98.32°, γ = 73.63°
Closest atoms and distances in Å follow each position.
Element x y z (fractional)
Li 0.0000 0.0000 0.0000  4 Zn 2.54-2.63, 6 Al 2.60-2.70
Al 0.2022 0.6401 0.2002  1 Zn 2.68, 1 Li 2.70, 6 Al 2.71-2.96
Al 0.2376 0.2376 0.0972  2 Zn 2.55-2.56, 1 Li 2.60, 4 Al 2.71-2.73
Al 0.3599 0.7978 0.7998  1 Zn 2.68, 1 Li 2.70, 6 Al 2.71-2.96
Al 0.3832 0.3832 0.6637  8 Al 2.73-2.96, 1 Zn 2.86
Al 0.6168 0.6168 0.3363  8 Al 2.73-2.96, 1 Zn 2.86
Al 0.6401 0.2022 0.2002  1 Zn 2.68, 1 Li 2.70, 6 Al 2.71-2.96
Al 0.7624 0.7624 0.9028  2 Zn 2.55-2.56, 1 Li 2.60, 4 Al 2.71-2.73
Al 0.7978 0.3599 0.7998  1 Zn 2.68, 1 Li 2.70, 6 Al 2.71-2.96
Zn 0.1213 0.1213 0.5424  2 Li 2.54-2.63, 4 Al 2.55-2.68, 1 Zn 2.66
Zn 0.8787 0.8787 0.4576  2 Li 2.54-2.63, 4 Al 2.55-2.68, 1 Zn 2.66

The following is a GGA-PBE calculation of a relaxed structure of LiAlZn6, from the Alexandria database.

## Properties
**SG**: R-3m, No. 166
**Offset from the most stable computed form**: 151.6 meV/atom
**Final energy**: -1.57 eV/atom
**Formation energy**: 0.737 eV/f.u.
**Volume**: 142 Å³ per cell

a = 5.2477 Å, b = 5.2477 Å, c = 5.2477 Å
α = 83.08°, β = 83.08°, γ = 83.08°
Closest atoms and distances in Å follow each position.
Element x y z (fractional)
Li 0.0000 0.0000 0.0000  6 Zn 2.67
Al 0.5000 0.5000 0.5000  6 Zn 2.60
Zn 0.0249 0.6583 0.6583  5 Zn 2.54-2.76, 1 Al 2.60, 1 Li 2.67
Zn 0.3417 0.3417 0.9751  5 Zn 2.54-2.76, 1 Al 2.60, 1 Li 2.67
Zn 0.3417 0.9751 0.3417  5 Zn 2.54-2.76, 1 Al 2.60, 1 Li 2.67
Zn 0.6583 0.0249 0.6583  5 Zn 2.54-2.76, 1 Al 2.60, 1 Li 2.67
Zn 0.6583 0.6583 0.0249  5 Zn 2.54-2.76, 1 Al 2.60, 1 Li 2.67
Zn 0.9751 0.3417 0.3417  5 Zn 2.54-2.76, 1 Al 2.60, 1 Li 2.67